5
Lattice="4.763 0.000 0.000 0.000 4.763 0.000 0.000 0.000 4.763" Properties=species:S:1:pos:R:3 comment="PBE IrCl4, optimized geometry" e_form_raw_ev_per_atom=0.21 dft_energy_ev_per_atom=-3.039 pbc="T T T"
Ir 0.000 0.000 0.000
Cl 0.000 0.000 2.381
Cl 0.000 2.381 0.000
Cl 2.381 0.000 0.000
Cl 2.381 2.381 2.381